No. 1
Density functional theory data (PBE-GGA) for an optimized crystal structure of Pr3YTl.

Unit cell a=5.651 b=6.841 c=10.293 alpha=68.15 beta=74.07 gamma=65.60
Positions (direct):
Pr  0.653  0.725  0.968
Pr  0.864  0.671  0.602
Pr  0.215  0.854  0.716
Y  0.544  0.262  0.650
Pr  0.347  0.275  0.032
Pr  0.785  0.146  0.284
Y  0.456  0.738  0.350
Tl  0.946  0.232  0.877
Tl  0.054  0.768  0.123
Pr  0.136  0.329  0.398

Results
Relative energy among the computed polymorphs: 24 meV per atom
Crystal system: monoclinic
Formation energy: -2.523 kcal/mol of atoms
Theoretical density: 7.14 g/cm³
Spin magnetization: 0.000 μB per atom

No. 2
Density functional theory data (PBE-GGA) for an optimized crystal structure of Pr3YTl.

Unit cell a=4.927 b=4.940 c=13.393 alpha=90.00 beta=79.40 gamma=90.00
Positions (direct):
Y  0.173  0.250  0.303
Tl  0.671  0.750  0.306
Pr  0.877  0.750  0.894
Pr  0.771  0.250  0.106
Pr  0.379  0.250  0.889
Pr  0.269  0.750  0.111
Pr  0.573  0.250  0.502
Tl  0.977  0.250  0.694
Y  0.476  0.750  0.697
Pr  0.075  0.750  0.498

Results
Relative energy among the computed polymorphs: 0 meV per atom
Crystal system: orthorhombic
Formation energy: -3.070 kcal/mol of atoms
Theoretical density: 7.42 g/cm³
Spin magnetization: 0.000 μB per atom

No. 3
Density functional theory data (PBE-GGA) for an optimized crystal structure of PrY6Tl2.

Unit cell a=3.781 b=6.698 c=12.044 alpha=74.66 beta=80.97 gamma=73.60
Positions (direct):
Tl  0.357  0.069  0.216
Tl  0.643  0.931  0.784
Y  0.688  0.497  0.126
Y  0.691  0.201  0.417
Y  0.309  0.799  0.583
Y  0.312  0.503  0.874
Pr  0.000  0.000  0.000
Y  0.013  0.321  0.653
Y  0.987  0.679  0.347

Results
Crystal system: monoclinic
Formation energy: -3.702 kcal/mol of atoms
Theoretical density: 6.40 g/cm³
Spin magnetization: 0.000 μB per atom

No. 4
Density functional theory data (PBE-GGA) for an optimized crystal structure of Pr6YTl.

Unit cell a=5.076 b=5.076 c=10.457 alpha=90.00 beta=90.00 gamma=90.00
Positions (direct):
Y  0.000  0.000  0.000
Pr  0.500  0.500  0.500
Pr  0.500  0.500  0.000
Tl  0.000  0.000  0.500
Pr  0.000  0.500  0.256
Pr  0.500  0.000  0.744
Pr  0.000  0.500  0.744
Pr  0.500  0.000  0.256

Results
Crystal system: tetragonal
Formation energy: -2.021 kcal/mol of atoms
Theoretical density: 7.02 g/cm³
Spin magnetization: 0.000 μB per atom

No. 5
Density functional theory data (PBE-GGA) for an optimized crystal structure of Pr9Y4Tl11.

Unit cell a=3.578 b=14.311 c=14.311 alpha=101.82 beta=90.00 gamma=90.00
Positions (direct):
Pr  0.500  0.209  0.038
Y  0.500  0.737  0.563
Pr  0.500  0.791  0.962
Pr  0.500  0.373  0.859
Tl  0.000  0.069  0.420
Tl  0.000  0.833  0.167
Tl  0.000  0.245  0.245
Pr  0.500  0.500  0.500
Tl  0.000  0.580  0.931
Tl  0.000  0.420  0.069
Tl  0.000  0.366  0.634
Tl  0.000  0.931  0.580
Tl  0.000  0.000  0.000
Pr  0.500  0.627  0.141
Pr  0.500  0.859  0.373
Tl  0.000  0.634  0.366
Y  0.500  0.563  0.737
Y  0.500  0.263  0.437
Pr  0.500  0.038  0.209
Tl  0.000  0.167  0.833
Pr  0.500  0.962  0.791
Pr  0.500  0.141  0.627
Y  0.500  0.437  0.263
Tl  0.000  0.755  0.755

Results
Crystal system: orthorhombic
Formation energy: -7.258 kcal/mol of atoms
Theoretical density: 8.96 g/cm³
Spin magnetization: 0.037 μB per atom

No. 6
Density functional theory data (PBE-GGA) for an optimized crystal structure of Pr2YTl.

Unit cell a=3.704 b=3.704 c=9.578 alpha=90.00 beta=90.00 gamma=90.00
Positions (direct):
Pr  0.000  0.000  0.229
Y  0.500  0.500  0.500
Pr  0.000  0.000  0.771
Tl  0.500  0.500  0.000

Results
Relative energy among the computed polymorphs: 58 meV per atom
Crystal system: tetragonal
Formation energy: -3.379 kcal/mol of atoms
Theoretical density: 7.27 g/cm³
Spin magnetization: 0.000 μB per atom

No. 7
Density functional theory data (PBE-GGA) for an optimized crystal structure of Pr5Y2Tl4.

Unit cell a=3.670 b=8.645 c=12.842 alpha=115.51 beta=98.22 gamma=90.00
Positions (direct):
Pr  0.174  0.904  0.349
Pr  0.876  0.727  0.752
Tl  0.589  0.541  0.178
Y  0.271  0.360  0.543
Y  0.729  0.640  0.457
Tl  0.975  0.278  0.949
Pr  0.500  0.000  0.000
Tl  0.411  0.459  0.822
Pr  0.124  0.273  0.248
Pr  0.826  0.096  0.651
Tl  0.025  0.722  0.051

Results
Crystal system: monoclinic
Formation energy: -0.502 kcal/mol of atoms
Theoretical density: 7.77 g/cm³
Spin magnetization: 0.000 μB per atom

No. 8
Density functional theory data (PBE-GGA) for an optimized crystal structure of PrY6Tl.

Unit cell a=9.368 b=8.658 c=6.375 alpha=47.22 beta=42.76 gamma=57.23
Positions (direct):
Tl  0.000  0.000  0.000
Pr  0.500  0.500  0.500
Y  0.240  0.037  0.270
Y  0.548  0.240  0.176
Y  0.452  0.760  0.824
Y  0.037  0.453  0.750
Y  0.760  0.963  0.730
Y  0.963  0.547  0.250

Results
Relative energy among the computed polymorphs: 35 meV per atom
Crystal system: trigonal
Formation energy: 0.133 kcal/mol of atoms
Theoretical density: 5.68 g/cm³
Spin magnetization: 0.000 μB per atom

No. 9
Density functional theory data (PBE-GGA) for an optimized crystal structure of Pr2YTl.

Unit cell a=5.102 b=4.924 c=4.924 alpha=90.00 beta=90.00 gamma=90.00
Positions (direct):
Tl  0.500  0.500  0.500
Pr  0.000  0.500  0.000
Pr  0.000  0.000  0.500
Y  0.500  0.000  0.000

Results
Relative energy among the computed polymorphs: 0 meV per atom
Crystal system: tetragonal
Formation energy: -4.726 kcal/mol of atoms
Theoretical density: 7.72 g/cm³
Spin magnetization: 0.000 μB per atom

No. 10
Density functional theory data (PBE-GGA) for an optimized crystal structure of Pr2Y2Tl7.

Unit cell a=7.553 b=6.223 c=7.553 alpha=84.95 beta=102.76 gamma=95.05
Positions (direct):
Y  0.189  0.500  0.189
Pr  0.274  0.819  0.726
Tl  0.000  0.000  0.000
Tl  0.938  0.719  0.394
Tl  0.459  0.255  0.541
Tl  0.062  0.281  0.606
Y  0.811  0.500  0.811
Pr  0.726  0.181  0.274
Tl  0.541  0.745  0.459
Tl  0.606  0.719  0.062
Tl  0.394  0.281  0.938

Results
Crystal system: monoclinic
Formation energy: -2.852 kcal/mol of atoms
Theoretical density: 9.12 g/cm³
Spin magnetization: 0.000 μB per atom

No. 11
Density functional theory data (PBE-GGA) for an optimized crystal structure of PrYTl2.

Unit cell a=5.473 b=5.473 c=5.473 alpha=60.00 beta=60.00 gamma=60.00
Positions (direct):
Y  0.000  0.000  0.000
Tl  0.250  0.250  0.250
Pr  0.500  0.500  0.500
Tl  0.750  0.750  0.750

Results
Relative energy among the computed polymorphs: 12 meV per atom
Crystal system: cubic
Formation energy: -8.826 kcal/mol of atoms
Theoretical density: 9.15 g/cm³
Spin magnetization: 0.000 μB per atom

No. 12
Density functional theory data (PBE-GGA) for an optimized crystal structure of PrYTl2.

Unit cell a=4.356 b=5.148 c=5.148 alpha=90.00 beta=90.00 gamma=90.00
Positions (direct):
Tl  0.000  0.500  0.000
Y  0.500  0.000  0.000
Pr  0.500  0.500  0.500
Tl  0.000  0.000  0.500

Results
Relative energy among the computed polymorphs: 22 meV per atom
Crystal system: tetragonal
Formation energy: -8.601 kcal/mol of atoms
Theoretical density: 9.19 g/cm³
Spin magnetization: 0.000 μB per atom